Version P
Computed, not measured: a geometry-optimized Ca2MgAg2 structure at the PBE level of DFT.

```
10
Lattice="7.828 0.000 0.000 0.000 7.828 0.000 0.000 0.000 4.279" Properties=species:S:1:pos:R:3 pbc="T T T"
Ca 1.337 2.577 0.000
Ca 2.577 6.491 0.000
Ca 5.251 1.337 0.000
Ca 6.491 5.251 0.000
Mg 0.000 0.000 2.140
Mg 3.914 3.914 2.140
Ag 1.019 4.933 2.140
Ag 2.895 1.019 2.140
Ag 4.933 6.809 2.140
Ag 6.809 2.895 2.140
```

ρ	4.1	Mg/m³

---

Version Q
Computed, not measured: a geometry-optimized Ca2MgAg2 structure at the PBE level of DFT.

```
5
Lattice="-1.969 1.969 9.019 1.969 -1.969 9.019 1.969 1.969 -9.019" Properties=species:S:1:pos:R:3 pbc="T T T"
Ca 0.000 0.000 2.030
Ca 0.000 0.000 16.009
Mg 0.000 0.000 9.019
Ag 1.969 0.000 4.510
Ag 0.000 1.969 4.510
```

ρ	3.8	Mg/m³

---

Stability ranking, top and bottom: version P is the most stable and version Q is the least stable.

---

Version P
Computed, not measured: a geometry-optimized CaMg3Ag structure at the PBE level of DFT.

```
10
Lattice="4.362 -6.335 0.000 4.362 6.335 0.000 0.000 0.000 4.485" Properties=species:S:1:pos:R:3 pbc="T T T"
Ca 4.362 3.621 0.000
Ca 4.362 -3.621 0.000
Mg 0.000 0.000 2.242
Mg 2.691 1.609 2.242
Mg 2.691 -1.609 2.242
Mg 4.362 0.000 0.000
Mg 6.033 1.609 2.242
Mg 6.033 -1.609 2.242
Ag 1.631 0.000 0.000
Ag 7.093 0.000 0.000
```

ρ	3.0	Mg/m³

---

Version Q
Computed, not measured: a geometry-optimized CaMg3Ag structure at the PBE level of DFT.

```
10
Lattice="7.120 0.000 0.000 -3.560 6.166 0.000 0.000 0.000 5.822" Properties=species:S:1:pos:R:3 pbc="T T T"
Ca 0.000 4.111 1.455
Ca 3.560 2.055 4.366
Mg 0.000 2.328 4.366
Mg -1.544 5.002 4.366
Mg 2.016 1.164 1.455
Mg 1.544 5.002 4.366
Mg 5.104 1.164 1.455
Mg 3.560 3.838 1.455
Ag 0.000 0.000 0.000
Ag 0.000 0.000 2.911
```

ρ	2.9	Mg/m³

---

Stability ranking, top and bottom: version P is the most stable and version Q is the least stable.

---

Version P
Computed, not measured: a geometry-optimized CaMg3Ag structure at the PBE level of DFT.

```
5
Lattice="5.176 0.000 0.000 0.000 5.176 0.000 0.000 0.000 5.176" Properties=species:S:1:pos:R:3 pbc="T T T"
Ca 0.000 0.000 0.000
Mg 0.000 2.588 2.588
Mg 2.588 0.000 2.588
Mg 2.588 2.588 0.000
Ag 2.588 2.588 2.588
```

ρ	2.6	Mg/m³

---

Version Q
Computed, not measured: a geometry-optimized CaMg3Ag structure at the PBE level of DFT.

```
5
Lattice="6.089 0.000 0.000 0.000 6.089 0.000 0.000 0.000 6.089" Properties=species:S:1:pos:R:3 pbc="T T T"
Ca 0.000 0.000 0.000
Mg 0.000 0.000 3.045
Mg 0.000 3.045 0.000
Mg 3.045 0.000 0.000
Ag 3.045 3.045 3.045
```

ρ	1.6	Mg/m³

---

Stability ranking, top and bottom: version P is the most stable and version Q is the least stable.

---

Version P
Computed, not measured: a geometry-optimized CaMgAg4 structure at the PBE level of DFT.

```
6
Lattice="0.000 3.990 3.990 3.990 0.000 3.990 3.990 3.990 0.000" Properties=species:S:1:pos:R:3 pbc="T T T"
Ca 0.000 0.000 0.000
Mg 5.986 5.986 5.986
Ag 2.995 2.995 2.995
Ag 4.986 4.986 2.995
Ag 4.986 2.995 4.986
Ag 2.995 4.986 4.986
```

ρ	6.5	Mg/m³

---

Version Q
Computed, not measured: a geometry-optimized CaMgAg4 structure at the PBE level of DFT.

```
6
Lattice="4.759 0.000 0.000 -2.379 4.121 0.000 0.000 0.000 6.599" Properties=species:S:1:pos:R:3 pbc="T T T"
Ca 0.000 0.000 0.000
Mg 0.000 0.000 3.299
Ag 0.000 2.748 1.848
Ag 0.000 2.748 4.751
Ag 2.379 1.374 1.848
Ag 2.379 1.374 4.751
```

ρ	6.4	Mg/m³

---

Stability ranking, top and bottom: version P is the most stable and version Q is the least stable.